1.
VASP calculation (GGA-PBEsol) on an optimized crystal structure of Li2MgRh.

Its energy of formation is -0.09 eV/atom.

The structure in CIF format:
```
data_Li2MgRh
_cell_length_a 5.2038
_cell_length_b 9.2155
_cell_length_c 2.9063
_cell_angle_alpha 90.00
_cell_angle_beta 120.42
_cell_angle_gamma 90.00
_symmetry_space_group_name_H-M 'C 1 2/m 1'
_symmetry_Int_Tables_number 12
loop_
_symmetry_equiv_pos_as_xyz
'x,y,z'
'-x,-y,-z'
'-x,y,-z'
'x,-y,z'
'x+1/2,y+1/2,z'
'-x+1/2,-y+1/2,-z'
'-x+1/2,y+1/2,-z'
'x+1/2,-y+1/2,z'
loop_
_atom_site_label
_atom_site_type_symbol
_atom_site_fract_x
_atom_site_fract_y
_atom_site_fract_z
Li1 Li 0.2500 0.2500 0.0000
Mg1 Mg 0.0000 0.0000 0.5000
Rh1 Rh 0.0000 0.5000 0.5000
```

---

2.
VASP calculation (GGA-PBEsol) on an optimized crystal structure of Na4CaP6O18.

As for the uncorrected formation energy: -67.5 eV/f.u.

The structure in CIF format:
```
data_Na4CaP6O18
_cell_length_a 13.1494
_cell_length_b 7.9818
_cell_length_c 14.2718
_cell_angle_alpha 90.00
_cell_angle_beta 94.71
_cell_angle_gamma 90.00
_symmetry_space_group_name_H-M 'C 1 2/c 1'
_symmetry_Int_Tables_number 15
loop_
_symmetry_equiv_pos_as_xyz
'x,y,z'
'-x,-y,-z'
'-x,y,-z+1/2'
'x,-y,z+1/2'
'x+1/2,y+1/2,z'
'-x+1/2,-y+1/2,-z'
'-x+1/2,y+1/2,-z+1/2'
'x+1/2,-y+1/2,z+1/2'
loop_
_atom_site_label
_atom_site_type_symbol
_atom_site_fract_x
_atom_site_fract_y
_atom_site_fract_z
Na1 Na 0.1623 0.1255 0.4549
Na2 Na 0.1660 0.3748 0.9164
Ca1 Ca 0.0000 0.1218 0.7500
P1 P 0.0873 0.1896 0.1099
P2 P 0.0929 0.4470 0.6141
P3 P 0.2284 0.3606 0.2481
O1 O 0.0021 0.0714 0.1265
O2 O 0.0118 0.3238 0.6338
O3 O 0.0361 0.3737 0.0982
O4 O 0.1552 0.1566 0.0330
O5 O 0.1547 0.2081 0.2096
O6 O 0.1601 0.4161 0.5364
O7 O 0.1602 0.4789 0.7125
O8 O 0.1753 0.1431 0.8020
O9 O 0.2326 0.3606 0.3526
```

---

3.
VASP calculation (GGA-PBEsol) on an optimized crystal structure of Sn3ClO.

As for the uncorrected formation energy: -0.9 eV/f.u.

The structure in CIF format:
```
data_Sn3ClO
_cell_length_a 4.9002
_cell_length_b 4.9002
_cell_length_c 4.9002
_cell_angle_alpha 90.00
_cell_angle_beta 90.00
_cell_angle_gamma 90.00
_symmetry_space_group_name_H-M 'P m -3 m'
_symmetry_Int_Tables_number 221
_symmetry_space_group_name_Hall '-P 4 2 3'
loop_
_atom_site_label
_atom_site_type_symbol
_atom_site_fract_x
_atom_site_fract_y
_atom_site_fract_z
Sn1 Sn 0.0000 0.0000 0.5000
Cl1 Cl 0.5000 0.5000 0.5000
O1 O 0.0000 0.0000 0.0000
```

---

Number 1: mass density 3.899 Mg/m³. Number 2: mass density 2.696 Mg/m³. Number 3: mass density 5.752 Mg/m³.